No. 1
DFT (PBE-GGA) results for a relaxed structure of BaSn3Ge.

## Properties
Energy of formation in meV per atom: -5
DFT total energy in eV/cell: -18.6
M_tot in μB per atom: 0.0000

Unit cell a=5.505 b=5.505 c=5.505 alpha=90.00 beta=90.00 gamma=90.00
Space group Pm-3m (No. 221)
Inequivalent atoms, fractional coordinates:
Ba 0.000 0.000 0.000
Sn 0.000 0.500 0.500
Ge 0.500 0.500 0.500


No. 2
DFT (PBE-GGA) results for a relaxed structure of BaSnGe2.

## Properties
Energy of formation in meV per atom: -272
DFT total energy in eV/cell: -48.7
M_tot in μB per atom: 0.0000

Unit cell a=4.8553 b=4.8553 c=17.1869 alpha=90.00 beta=90.00 gamma=120.00
Space group R-3m (No. 166, hexagonal axes)
Inequivalent atoms, fractional coordinates:
Ba 0.0000 0.0000 0.0000
Sn 0.0000 0.0000 0.5000
Ge 0.0000 0.0000 0.2096


No. 3
DFT (PBE-GGA) results for a relaxed structure of BaSn3Ge3.

## Properties
Energy of formation in meV per atom: -47
DFT total energy in eV/cell: -56.2
M_tot in μB per atom: 0.0000

Unit cell a=7.685 b=7.685 c=7.685 alpha=90.00 beta=90.00 gamma=90.00
Space group Pm-3n (No. 223)
Inequivalent atoms, fractional coordinates:
Ba 0.000 0.000 0.000
Sn 0.000 0.250 0.500
Ge 0.000 0.500 0.250


No. 4
DFT (PBE-GGA) results for a relaxed structure of Ba3SnGe.

## Properties
Energy of formation in meV per atom: -202
DFT total energy in eV/cell: -15.4
M_tot in μB per atom: 0.2487

Unit cell a=6.285 b=6.285 c=6.285 alpha=90.00 beta=90.00 gamma=90.00
Space group Pm-3m (No. 221)
Inequivalent atoms, fractional coordinates:
Ba 0.000 0.000 0.500
Sn 0.500 0.500 0.500
Ge 0.000 0.000 0.000


No. 5
DFT (PBE-GGA) results for a relaxed structure of BaSn3Ge.

## Properties
Energy of formation in meV per atom: 1219
DFT total energy in eV/cell: -12.5
M_tot in μB per atom: 0.0000

Unit cell a=6.148 b=6.148 c=6.148 alpha=90.00 beta=90.00 gamma=90.00
Space group Pm-3m (No. 221)
Inequivalent atoms, fractional coordinates:
Ba 0.000 0.000 0.000
Sn 0.000 0.000 0.500
Ge 0.500 0.500 0.500


No. 6
DFT (PBE-GGA) results for a relaxed structure of Ba2SnGe.

## Properties
Energy of formation in meV per atom: -426
DFT total energy in eV/cell: -14.2
M_tot in μB per atom: 0.0000

Unit cell a=5.355 b=5.355 c=4.878 alpha=90.00 beta=90.00 gamma=90.00
Space group P4/mmm (No. 123)
Inequivalent atoms, fractional coordinates:
Ba 0.000 0.500 0.000
Sn 0.000 0.000 0.500
Ge 0.500 0.500 0.500


No. 7
DFT (PBE-GGA) results for a relaxed structure of BaSn2Ge.

## Properties
Energy of formation in meV per atom: -320
DFT total energy in eV/cell: -47.5
M_tot in μB per atom: 0.0000

Unit cell a=4.9713 b=4.9713 c=17.9134 alpha=90.00 beta=90.00 gamma=120.00
Space group R-3m (No. 166, hexagonal axes)
Inequivalent atoms, fractional coordinates:
Ba 0.0000 0.0000 0.0000
Sn 0.0000 0.0000 0.2110
Ge 0.0000 0.0000 0.5000


No. 8
DFT (PBE-GGA) results for a relaxed structure of Ba2SnGe.

## Properties
Energy of formation in meV per atom: 44
DFT total energy in eV/cell: -36.9
M_tot in μB per atom: 0.0000

Unit cell a=4.1417 b=4.1417 c=34.7700 alpha=90.00 beta=90.00 gamma=120.00
Space group R-3m (No. 166, hexagonal axes)
Inequivalent atoms, fractional coordinates:
Ba 0.0000 0.0000 0.1020
Sn 0.0000 0.0000 0.0000
Ge 0.0000 0.0000 0.5000


No. 9
DFT (PBE-GGA) results for a relaxed structure of Ba3SnGe.

## Properties
Energy of formation in meV per atom: -496
DFT total energy in eV/cell: -67.5
M_tot in μB per atom: 0.0900

Unit cell a=19.502 b=4.303 c=10.046 alpha=90.00 beta=95.57 gamma=90.00
Space group Cm (No. 8)
Inequivalent atoms, fractional coordinates:
Ba 0.000 0.000 0.000
Ba 0.007 0.500 0.380
Ba 0.145 0.000 0.619
Ba 0.208 0.500 0.015
Ba 0.300 0.500 0.366
Ba 0.361 0.000 0.762
Sn 0.144 0.000 0.267
Sn 0.363 0.000 0.114
Ge 0.035 0.500 0.746
Ge 0.471 0.500 0.634


No. 10
DFT (PBE-GGA) results for a relaxed structure of Ba4Sn5Ge2.

## Properties
Energy of formation in meV per atom: -546
DFT total energy in eV/cell: -42.9
M_tot in μB per atom: 0.0000

Unit cell a=8.019 b=5.205 c=9.097 alpha=90.00 beta=90.54 gamma=90.00
Space group P2/m (No. 10)
Inequivalent atoms, fractional coordinates:
Ba 0.220 0.000 0.137
Ba 0.253 0.000 0.619
Sn 0.122 0.500 0.875
Sn 0.422 0.500 0.350
Sn 0.500 0.500 0.000
Ge 0.078 0.500 0.379


No. 11
DFT (PBE-GGA) results for a relaxed structure of Ba6SnGe2.

## Properties
Energy of formation in meV per atom: -460
DFT total energy in eV/cell: -115.6
M_tot in μB per atom: 0.1700

Unit cell a=11.033 b=11.670 c=12.005 alpha=90.00 beta=90.00 gamma=90.00
Space group Immm (No. 71)
Inequivalent atoms, fractional coordinates:
Ba 0.000 0.199 0.229
Ba 0.196 0.500 0.172
Ba 0.215 0.320 0.500
Sn 0.000 0.000 0.000
Sn 0.000 0.000 0.500
Ge 0.000 0.373 0.000
Ge 0.000 0.500 0.389


No. 12
DFT (PBE-GGA) results for a relaxed structure of BaSn2Ge.

## Properties
Energy of formation in meV per atom: -209
DFT total energy in eV/cell: -30.8
M_tot in μB per atom: 0.0000

Unit cell a=5.944 b=9.970 c=4.632 alpha=90.00 beta=90.00 gamma=90.00
Space group Cmmm (No. 65)
Inequivalent atoms, fractional coordinates:
Ba 0.000 0.000 0.000
Sn 0.250 0.250 0.500
Ge 0.000 0.500 0.500


No. 13
DFT (PBE-GGA) results for a relaxed structure of BaSnGe.

## Properties
Energy of formation in meV per atom: -427
DFT total energy in eV/cell: -23.6
M_tot in μB per atom: 0.0000

Unit cell a=6.440 b=4.347 c=7.372 alpha=90.00 beta=94.31 gamma=90.00
Space group P2/m (No. 10)
Inequivalent atoms, fractional coordinates:
Ba 0.166 0.000 0.286
Sn 0.340 0.500 0.654
Ge 0.340 0.000 0.880


No. 14
DFT (PBE-GGA) results for a relaxed structure of Ba2Sn4Ge.

## Properties
Energy of formation in meV per atom: -418
DFT total energy in eV/cell: -54.8
M_tot in μB per atom: 0.0000

Unit cell a=6.311 b=7.015 c=10.877 alpha=90.00 beta=103.29 gamma=90.00
Space group P2_1/m (No. 11)
Inequivalent atoms, fractional coordinates:
Ba 0.127 0.250 0.422
Ba 0.274 0.750 0.001
Sn 0.244 0.750 0.347
Sn 0.268 0.250 0.126
Sn 0.394 0.005 0.714
Ge 0.160 0.250 0.852


No. 15
DFT (PBE-GGA) results for a relaxed structure of Ba2Sn5Ge.

## Properties
Energy of formation in meV per atom: -390
DFT total energy in eV/cell: -63.2
M_tot in μB per atom: 0.0000

Unit cell a=6.838 b=6.838 c=11.244 alpha=90.00 beta=90.00 gamma=90.00
Space group I4mm (No. 107)
Inequivalent atoms, fractional coordinates:
Ba 0.000 0.500 0.000
Sn 0.000 0.000 0.391
Sn 0.228 0.228 0.746
Ge 0.000 0.000 0.123


No. 16
DFT (PBE-GGA) results for a relaxed structure of Ba6Sn2Ge.

## Properties
Energy of formation in meV per atom: -541
DFT total energy in eV/cell: -29.0
M_tot in μB per atom: 0.0000

Unit cell a=9.2011 b=9.2011 c=5.2694 alpha=90.00 beta=90.00 gamma=120.00
Space group P-62m (No. 189)
Inequivalent atoms, fractional coordinates:
Ba 0.0000 0.4093 0.0000
Ba 0.0000 0.7480 0.5000
Sn 0.3333 0.6667 0.5000
Ge 0.0000 0.0000 0.0000


No. 17
DFT (PBE-GGA) results for a relaxed structure of Ba2Sn2Ge.

## Properties
Energy of formation in meV per atom: -438
DFT total energy in eV/cell: -37.3
M_tot in μB per atom: 0.0000

Unit cell a=8.030 b=8.030 c=5.400 alpha=90.00 beta=90.00 gamma=90.00
Space group P4/mbm (No. 127)
Inequivalent atoms, fractional coordinates:
Ba 0.173 0.327 0.000
Sn 0.132 0.632 0.500
Ge 0.000 0.000 0.500


No. 18
DFT (PBE-GGA) results for a relaxed structure of BaSn2Ge.

## Properties
Energy of formation in meV per atom: -210
DFT total energy in eV/cell: -61.5
M_tot in μB per atom: 0.0000

Unit cell a=5.308 b=5.308 c=20.002 alpha=90.00 beta=90.00 gamma=90.00
Space group I-42d (No. 122)
Inequivalent atoms, fractional coordinates:
Ba 0.000 0.000 0.000
Sn 0.125 0.250 0.625
Ge 0.000 0.000 0.500


No. 19
DFT (PBE-GGA) results for a relaxed structure of Ba2Sn2Ge.

## Properties
Energy of formation in meV per atom: -533
DFT total energy in eV/cell: -76.5
M_tot in μB per atom: 0.0000

Unit cell a=12.814 b=5.066 c=11.786 alpha=90.00 beta=114.39 gamma=90.00
Space group C2/m (No. 12)
Inequivalent atoms, fractional coordinates:
Ba 0.008 0.000 0.167
Ba 0.185 0.000 0.615
Sn 0.030 0.500 0.391
Sn 0.186 0.500 0.054
Ge 0.204 0.500 0.824


No. 20
DFT (PBE-GGA) results for a relaxed structure of Ba2SnGe.

## Properties
Energy of formation in meV per atom: -132
DFT total energy in eV/cell: -52.0
M_tot in μB per atom: 0.0000

Unit cell a=9.314 b=9.314 c=6.948 alpha=90.00 beta=90.00 gamma=90.00
Space group I-42d (No. 122)
Inequivalent atoms, fractional coordinates:
Ba 0.226 0.250 0.125
Sn 0.000 0.000 0.500
Ge 0.000 0.000 0.000


No. 21
DFT (PBE-GGA) results for a relaxed structure of BaSnGe2.

## Properties
Energy of formation in meV per atom: -201
DFT total energy in eV/cell: -63.9
M_tot in μB per atom: 0.0000

Unit cell a=8.247 b=8.247 c=7.062 alpha=90.00 beta=90.00 gamma=90.00
Space group I-42d (No. 122)
Inequivalent atoms, fractional coordinates:
Ba 0.000 0.000 0.000
Sn 0.000 0.000 0.500
Ge 0.195 0.250 0.625


No. 22
DFT (PBE-GGA) results for a relaxed structure of Ba2SnGe2.

## Properties
Energy of formation in meV per atom: -554
DFT total energy in eV/cell: -39.7
M_tot in μB per atom: 0.0000

Unit cell a=4.196 b=15.378 c=4.992 alpha=90.00 beta=90.00 gamma=90.00
Space group Cmmm (No. 65)
Inequivalent atoms, fractional coordinates:
Ba 0.000 0.126 0.000
Sn 0.000 0.500 0.500
Ge 0.000 0.299 0.500


No. 23
DFT (PBE-GGA) results for a relaxed structure of Ba8Sn2Ge.

## Properties
Energy of formation in meV per atom: -399
DFT total energy in eV/cell: -64.8
M_tot in μB per atom: 0.0000

Unit cell a=21.956 b=5.852 c=8.043 alpha=90.00 beta=105.30 gamma=90.00
Space group C2/m (No. 12)
Inequivalent atoms, fractional coordinates:
Ba 0.028 0.000 0.297
Ba 0.092 0.500 0.924
Ba 0.156 0.500 0.456
Ba 0.214 0.000 0.805
Sn 0.186 0.000 0.221
Ge 0.000 0.500 0.500


No. 24
DFT (PBE-GGA) results for a relaxed structure of BaSnGe2.

## Properties
Energy of formation in meV per atom: -195
DFT total energy in eV/cell: -31.9
M_tot in μB per atom: 0.0000

Unit cell a=4.513 b=6.176 c=9.209 alpha=90.00 beta=90.00 gamma=90.00
Space group Amm2 (No. 38)
Inequivalent atoms, fractional coordinates:
Ba 0.000 0.000 0.000
Sn 0.500 0.000 0.427
Ge 0.500 0.197 0.715


No. 25
DFT (PBE-GGA) results for a relaxed structure of BaSrSn2Ge.

## Properties
Energy of formation in meV per atom: -509
DFT total energy in eV/cell: -37.5
M_tot in μB per atom: 0.0000

Unit cell a=4.890 b=5.057 c=13.555 alpha=90.00 beta=90.00 gamma=90.00
Space group Imm2 (No. 44)
Inequivalent atoms, fractional coordinates:
Ba 0.000 0.000 0.000
Sr 0.000 0.500 0.761
Sn 0.000 0.000 0.606
Sn 0.000 0.500 0.265
Ge 0.000 0.000 0.403